The following is a PBE calculation of a relaxed BaF crystal, from Alexandria via LeMat-Bulk.

abc: 4.670 4.670 6.135
angles: 90.00 90.00 120.00
Fractional coordinates of all 4 atoms:
Ba: 0.333 0.667 0.250
Ba: 0.667 0.333 0.750
F: 0.333 0.667 0.750
F: 0.667 0.333 0.250

Computed properties:
formation energy without anion corrections: -2654 meV/atom
theoretical density: 4.48 g cm⁻³
final energy: -4.551 eV per atom

=====

The following is a PBE calculation of a relaxed PrNdThAl crystal, from Alexandria via LeMat-Bulk.

abc: 7.786 7.786 7.786
angles: 90.00 90.00 90.00
Fractional coordinates of all 16 atoms:
Pr: 0.000 0.000 0.000
Pr: 0.000 0.500 0.500
Pr: 0.500 0.000 0.500
Pr: 0.500 0.500 0.000
Nd: 0.250 0.250 0.750
Nd: 0.250 0.750 0.250
Nd: 0.750 0.250 0.250
Nd: 0.750 0.750 0.750
Th: 0.250 0.250 0.250
Th: 0.250 0.750 0.750
Th: 0.750 0.250 0.750
Th: 0.750 0.750 0.250
Al: 0.000 0.000 0.500
Al: 0.000 0.500 0.000
Al: 0.500 0.000 0.000
Al: 0.500 0.500 0.500

Computed properties:
theoretical density: 7.66 g cm⁻³
formation energy: 0.035 eV/atom
final energy: -5.142 eV per atom

=====

The following is a PBE calculation of a relaxed KBi crystal, from Alexandria via LeMat-Bulk.

abc: 8.262 8.262 8.262
angles: 90.00 90.00 90.00
Fractional coordinates of all 8 atoms:
K: 0.000 0.000 0.000
K: 0.000 0.500 0.500
K: 0.500 0.000 0.500
K: 0.500 0.500 0.000
Bi: 0.250 0.250 0.750
Bi: 0.250 0.750 0.250
Bi: 0.750 0.250 0.250
Bi: 0.750 0.750 0.750

Computed properties:
theoretical density: 2.92 g cm⁻³
formation energy: 0.487 eV/atom
final energy: -2.003 eV per atom

=====

The following is a PBE calculation of a relaxed BaCeSi2S8 crystal, from Alexandria via LeMat-Bulk.

abc: 6.160 6.160 9.309
angles: 90.00 90.00 120.00
Fractional coordinates of all 12 atoms:
Ba: 0.000 0.000 0.000
Ce: 0.000 0.000 0.500
Si: 0.333 0.667 0.755
Si: 0.667 0.333 0.245
S: 0.001 0.662 0.309
S: 0.333 0.667 0.983
S: 0.338 0.001 0.691
S: 0.338 0.338 0.309
S: 0.662 0.662 0.691
S: 0.662 0.999 0.309
S: 0.667 0.333 0.017
S: 0.999 0.338 0.691

Computed properties:
formation energy without anion corrections: -929 meV/atom
theoretical density: 3.20 g cm⁻³
final energy: -5.239 eV per atom